[1]
PuTcOs | GGA-PBE | optimized geometry

abc: 4.3544 4.3544 4.3544
angles: 60.00 60.00 60.00
With the nearest neighbours (Å) after each atom.
Fractional positions:
Pu 0.0000 0.0000 0.0000  4 Os 2.67
Tc 0.5000 0.5000 0.5000  4 Os 2.67
Os 0.2500 0.2500 0.2500  4 Tc 2.67, 4 Pu 2.67

Values from the calculation:
symmetry	F-43m (216)

[2]
HfCd2Ir | GGA-PBE | optimized geometry

abc: 4.7097 4.7097 4.7097
angles: 60.00 60.00 60.00
With the nearest neighbours (Å) after each atom.
Fractional positions:
Hf 0.0000 0.0000 0.0000  4 Cd 2.88, 4 Ir 2.88
Cd 0.5000 0.5000 0.5000  4 Cd 2.88, 4 Ir 2.88
Cd 0.7500 0.7500 0.7500  4 Cd 2.88, 4 Hf 2.88
Ir 0.2500 0.2500 0.2500  4 Hf 2.88, 4 Cd 2.88

Values from the calculation:
symmetry	F-43m (216)

[3]
HfTc2Pb | GGA-PBE | optimized geometry

abc: 4.6875 4.6875 4.6875
angles: 60.00 60.00 60.00
With the nearest neighbours (Å) after each atom.
Fractional positions:
Hf 0.0000 0.0000 0.0000  4 Pb 2.87, 4 Tc 2.87
Tc 0.2500 0.2500 0.2500  4 Tc 2.87, 4 Hf 2.87
Tc 0.5000 0.5000 0.5000  4 Pb 2.87, 4 Tc 2.87
Pb 0.7500 0.7500 0.7500  4 Tc 2.87, 4 Hf 2.87

Values from the calculation:
symmetry	F-43m (216)

[4]
Nd3Y3Te2Pt | GGA-PBE | optimized geometry

abc: 8.5140 8.5140 4.0716
angles: 90.00 90.00 120.00
With the nearest neighbours (Å) after each atom.
Fractional positions:
Nd 0.0000 0.4051 0.0000  4 Te 3.29, 1 Pt 3.45, 6 Y 3.63
Nd 0.4051 0.0000 0.0000  4 Te 3.29, 1 Pt 3.45, 6 Y 3.63
Nd 0.5949 0.5949 0.0000  4 Te 3.29, 1 Pt 3.45, 6 Y 3.63
Y 0.0000 0.7580 0.5000  2 Pt 2.90
Y 0.2420 0.2420 0.5000  2 Pt 2.90
Y 0.7580 0.0000 0.5000  2 Pt 2.90
Te 0.3333 0.6667 0.5000  6 Nd 3.29, 3 Y 3.30
Te 0.6667 0.3333 0.5000  6 Nd 3.29, 3 Y 3.30
Pt 0.0000 0.0000 0.0000  6 Y 2.90

Values from the calculation:
symmetry	P-62m (189)

[5]
ScBeSbOs | GGA-PBE | optimized geometry

abc: 4.5186 4.5186 4.5186
angles: 60.00 60.00 60.00
With the nearest neighbours (Å) after each atom.
Fractional positions:
Sc 0.0000 0.0000 0.0000  4 Sb 2.77, 4 Os 2.77
Be 0.5000 0.5000 0.5000  4 Sb 2.77, 4 Os 2.77
Sb 0.7500 0.7500 0.7500  4 Be 2.77, 4 Sc 2.77
Os 0.2500 0.2500 0.2500  4 Be 2.77, 4 Sc 2.77

Values from the calculation:
symmetry	F-43m (216)

[6]
NdFe4P2 | GGA-PBE | optimized geometry

abc: 7.1381 7.1381 3.6732
angles: 90.00 90.00 90.00
With the nearest neighbours (Å) after each atom.
Fractional positions:
Nd 0.0000 0.0000 0.0000  6 P 2.84-2.87, 12 Fe 3.14-3.16
Nd 0.5000 0.5000 0.5000  6 P 2.84-2.87, 12 Fe 3.14-3.16
Fe 0.0851 0.3459 0.5000  3 P 2.35-2.36, 5 Fe 2.51-2.56
Fe 0.1541 0.5851 0.0000  3 P 2.35-2.36, 5 Fe 2.51-2.56
Fe 0.3459 0.0851 0.5000  3 P 2.35-2.36, 5 Fe 2.51-2.56
Fe 0.4149 0.8459 0.0000  3 P 2.35-2.36, 5 Fe 2.51-2.56
Fe 0.5851 0.1541 0.0000  3 P 2.35-2.36, 5 Fe 2.51-2.56
Fe 0.6541 0.9149 0.5000  3 P 2.35-2.36, 5 Fe 2.51-2.56
Fe 0.8459 0.4149 0.0000  3 P 2.35-2.36, 5 Fe 2.51-2.56
Fe 0.9149 0.6541 0.5000  3 P 2.35-2.36, 5 Fe 2.51-2.56
P 0.2186 0.7814 0.5000  6 Fe 2.35-2.36
P 0.2814 0.2814 0.0000  6 Fe 2.35-2.36
P 0.7186 0.7186 0.0000  6 Fe 2.35-2.36
P 0.7814 0.2186 0.5000  6 Fe 2.35-2.36

Values from the calculation:
symmetry	P4_2/mnm (136)

[7]
HoNpTa | GGA-PBE | optimized geometry

abc: 4.7110 4.7110 4.7110
angles: 60.00 60.00 60.00
With the nearest neighbours (Å) after each atom.
Fractional positions:
Ho 0.0000 0.0000 0.0000  4 Ta 2.88, 4 Np 2.88
Np 0.7500 0.7500 0.7500  4 Ho 2.88
Ta 0.2500 0.2500 0.2500  4 Ho 2.88

Values from the calculation:
symmetry	F-43m (216)

[8]
HoAgSnSe3 | GGA-PBE | optimized geometry

abc: 12.5885 4.0811 12.5550
angles: 90.00 90.00 90.00
With the nearest neighbours (Å) after each atom.
Fractional positions:
Ho 0.0125 0.2500 0.1567  6 Se 2.85-2.95
Ho 0.4875 0.7500 0.6567  6 Se 2.85-2.95
Ho 0.5125 0.2500 0.3433  6 Se 2.85-2.95
Ho 0.9875 0.7500 0.8433  6 Se 2.85-2.95
Ag 0.1977 0.7500 0.3952  2 Se 2.56-2.57
Ag 0.3023 0.2500 0.8952  2 Se 2.56-2.57
Ag 0.6977 0.7500 0.1048  2 Se 2.56-2.57
Ag 0.8023 0.2500 0.6048  2 Se 2.56-2.57
Sn 0.1824 0.2500 0.5778  3 Se 2.75-2.80, 2 Ag 3.07
Sn 0.3176 0.7500 0.0778  3 Se 2.75-2.80, 2 Ag 3.07
Sn 0.6824 0.2500 0.9222  3 Se 2.75-2.80, 2 Ag 3.07
Sn 0.8176 0.7500 0.4222  3 Se 2.75-2.80, 2 Ag 3.07
Se 0.0098 0.7500 0.3179  1 Ag 2.56, 1 Sn 2.75
Se 0.1054 0.2500 0.9491  1 Ag 2.57, 3 Ho 2.85-2.86
Se 0.2404 0.2500 0.2099  2 Sn 2.80, 1 Ho 2.95
Se 0.2596 0.7500 0.7099  2 Sn 2.80, 1 Ho 2.95
Se 0.3946 0.7500 0.4491  1 Ag 2.57, 3 Ho 2.85-2.86
Se 0.4902 0.2500 0.8179  1 Ag 2.56, 1 Sn 2.75
Se 0.5098 0.7500 0.1821  1 Ag 2.56, 1 Sn 2.75
Se 0.6054 0.2500 0.5509  1 Ag 2.57, 3 Ho 2.85-2.86
Se 0.7404 0.2500 0.2901  2 Sn 2.80, 1 Ho 2.95
Se 0.7596 0.7500 0.7901  2 Sn 2.80, 1 Ho 2.95
Se 0.8946 0.7500 0.0509  1 Ag 2.57, 3 Ho 2.85-2.86
Se 0.9902 0.2500 0.6821  1 Ag 2.56, 1 Sn 2.75

Values from the calculation:
symmetry	Pnma (62)

[9]
ErHfZn2Ir4 | GGA-PBE | optimized geometry

abc: 4.5028 4.5028 6.4082
angles: 90.00 90.00 90.00
With the nearest neighbours (Å) after each atom.
Fractional positions:
Er 0.0000 0.0000 0.0000  8 Ir 2.80
Hf 0.5000 0.5000 0.5000  8 Ir 2.73
Zn 0.0000 0.0000 0.5000  8 Ir 2.73
Zn 0.5000 0.5000 0.0000  8 Ir 2.80
Ir 0.0000 0.5000 0.2598  2 Hf 2.73, 4 Zn 2.73-2.80, 2 Er 2.80
Ir 0.0000 0.5000 0.7402  2 Hf 2.73, 4 Zn 2.73-2.80, 2 Er 2.80
Ir 0.5000 0.0000 0.2598  2 Hf 2.73, 4 Zn 2.73-2.80, 2 Er 2.80
Ir 0.5000 0.0000 0.7402  2 Hf 2.73, 4 Zn 2.73-2.80, 2 Er 2.80

Values from the calculation:
symmetry	P4/mmm (123)

[10]
NiGePtAu | GGA-PBE | optimized geometry

abc: 4.4244 4.4244 4.4244
angles: 60.00 60.00 60.00
With the nearest neighbours (Å) after each atom.
Fractional positions:
Ni 0.0000 0.0000 0.0000  4 Ge 2.71, 4 Au 2.71
Ge 0.7500 0.7500 0.7500  4 Ni 2.71, 4 Pt 2.71
Pt 0.5000 0.5000 0.5000  4 Ge 2.71, 4 Au 2.71
Au 0.2500 0.2500 0.2500  4 Ni 2.71, 4 Pt 2.71

Values from the calculation:
symmetry	F-43m (216)

| no. | total DFT energy (no corrections) (eV for the cell shown) |
| --- | --- |
| 1 | -33.12 |
| 2 | -21.34 |
| 3 | -32.60 |
| 4 | -54.61 |
| 5 | -24.64 |
| 6 | -106.02 |
| 7 | -24.60 |
| 8 | -109.04 |
| 9 | -57.25 |
| 10 | -19.63 |